# LiPmAgGe2

A relaxed structure of LiPmAgGe2 (PBE-GGA, the Alexandria database).

a b c (Å): 4.1896 4.1896 6.3490
angles (deg): 109.27 109.27 90.00
With the nearest neighbours (Å) after each atom.
Fractional coordinates of all 5 atoms:
Pm  0.0000  0.0000  0.0000  8 Ge 3.21, 4 Li 3.50, 4 Ag 3.50
Ag  0.2500  0.7500  0.5000  4 Ge 2.62
Ge  0.3905  0.3905  0.7811  1 Ge 2.46, 2 Li 2.62, 2 Ag 2.62
Ge  0.6095  0.6095  0.2189  1 Ge 2.46, 2 Li 2.62, 2 Ag 2.62
Li  0.7500  0.2500  0.5000  4 Ge 2.62

For the total magnetization, the calculation gives 0.000 μB/atom. The total DFT energy (no corrections) comes out at -4.299 eV per atom.



# Pm5Y2Mg5

A relaxed structure of Pm5Y2Mg5 (PBE-GGA, the Alexandria database).

a b c (Å): 3.6980 8.7761 11.9398
angles (deg): 70.79 81.09 77.84
With the nearest neighbours (Å) after each atom.
Fractional coordinates of all 12 atoms:
Pm  0.6688  0.6896  0.9728  4 Mg 3.34-3.42, 3 Y 3.54-3.56, 4 Pm 3.62-3.70
Pm  0.5613  0.1224  0.7550  6 Mg 3.32-3.47, 2 Y 3.57, 3 Pm 3.68-3.70
Pm  0.3312  0.3104  0.0272  4 Mg 3.34-3.42, 3 Y 3.54-3.56, 4 Pm 3.62-3.70
Pm  0.4387  0.8776  0.2450  6 Mg 3.32-3.47, 2 Y 3.57, 3 Pm 3.68-3.70
Pm  0.5000  0.5000  0.5000  4 Mg 3.48, 4 Y 3.53, 4 Pm 3.68-3.70
Mg  0.2351  0.8128  0.7171  3 Mg 3.10-3.26, 2 Y 3.33, 4 Pm 3.38-3.42
Mg  0.1720  0.1562  0.4998  5 Mg 3.10-3.26, 2 Pm 3.47
Mg  0.0000  0.0000  0.0000  8 Pm 3.32-3.34, 2 Mg 3.70
Mg  0.8280  0.8438  0.5002  5 Mg 3.10-3.26, 2 Pm 3.47
Mg  0.7649  0.1872  0.2829  3 Mg 3.10-3.26, 2 Y 3.33, 4 Pm 3.38-3.42
Y  0.8820  0.4767  0.7592  3 Mg 3.33-3.65, 7 Pm 3.53-3.57, 2 Y 3.70
Y  0.1180  0.5233  0.2408  3 Mg 3.33-3.65, 7 Pm 3.53-3.57, 2 Y 3.70

For the total magnetization, the calculation gives 0.000 μB/atom. The total DFT energy (no corrections) comes out at -3.763 eV per atom.



# PmCuC2O8

A relaxed structure of PmCuC2O8 (PBE-GGA, the Alexandria database).

a b c (Å): 4.7778 4.7778 6.9012
angles (deg): 90.00 90.00 120.00
With the nearest neighbours (Å) after each atom.
Fractional coordinates of all 12 atoms:
O  0.6528  0.8264  0.7951  1 C 1.38
O  0.6667  0.3333  0.4632  1 C 1.39
O  0.8264  0.1736  0.2049  1 C 1.38
O  0.3333  0.6667  0.5368  1 C 1.39
O  0.1736  0.8264  0.7951  1 C 1.38
O  0.3472  0.1736  0.2049  1 C 1.38
O  0.8264  0.6528  0.2049  1 C 1.38
O  0.1736  0.3472  0.7951  1 C 1.38
Cu  0.0000  0.0000  0.0000  6 O 2.02
C  0.3333  0.6667  0.7389  4 O 1.38-1.39
C  0.6667  0.3333  0.2611  4 O 1.38-1.39
Pm  0.0000  0.0000  0.5000  12 O 2.49-2.77

As for the energy relative to the elements, uncorrected: -1.17 eV per atom. For the total magnetization, the calculation gives 0.293 μB/atom. The total DFT energy (no corrections) comes out at -6.749 eV per atom.



# Nd3Te6As

A relaxed structure of Nd3Te6As (PBE-GGA, the Alexandria database).

a b c (Å): 7.6933 9.7561 9.7561
angles (deg): 102.03 90.00 90.00
With the nearest neighbours (Å) after each atom.
Fractional coordinates of all 20 atoms:
Te  0.1417  0.7778  0.2222  1 As 3.02, 2 Nd 3.19
Te  0.2089  0.4376  0.9061  1 As 2.71
Te  0.6811  0.6267  0.6976  4 Nd 3.14-3.22
Te  0.6417  0.2222  0.7778  1 As 3.02, 2 Nd 3.19
Te  0.1811  0.3733  0.3024  4 Nd 3.14-3.22
Te  0.6811  0.3024  0.3733  4 Nd 3.14-3.22
Te  0.7089  0.9061  0.4376  1 As 2.71
Te  0.7089  0.5624  0.0939  1 As 2.71
Te  0.1811  0.6976  0.6267  4 Nd 3.14-3.22
Te  0.2089  0.0939  0.5624  1 As 2.71
Te  0.6873  0.9683  0.0317  1 As 2.80
Te  0.1873  0.0317  0.9683  1 As 2.80
Nd  0.9823  0.0858  0.2773  7 Te 3.14-3.35
Nd  0.4823  0.9142  0.7227  7 Te 3.14-3.35
Nd  0.3805  0.4031  0.5969  7 Te 3.19-3.40
Nd  0.9823  0.7227  0.9142  7 Te 3.14-3.35
Nd  0.8805  0.5969  0.4031  7 Te 3.19-3.40
Nd  0.4823  0.2773  0.0858  7 Te 3.14-3.35
As  0.0313  0.1987  0.8013  4 Te 2.71-3.02
As  0.5313  0.8013  0.1987  4 Te 2.71-3.02

As for the energy relative to the elements, uncorrected: -1.03 eV per atom. For the total magnetization, the calculation gives 0.000 μB/atom. The total DFT energy (no corrections) comes out at -4.814 eV per atom.